# Ce8PuOs2 (GGA-PBE, optimized geometry)
# **Raw total energy**: -7.69 eV/atom
data_Ce8PuOs2
_chemical_formula_sum 'Ce16 Pu2 Os4'
_symmetry_space_group_name_H-M 'C 1 2/m 1'
_symmetry_Int_Tables_number 12
_cell_length_a 7.972
_cell_length_b 12.612
_cell_length_c 5.891
_cell_angle_alpha 90.00
_cell_angle_beta 112.05
_cell_angle_gamma 90.00
loop_
_symmetry_equiv_pos_as_xyz
'x,y,z'
'-x,-y,-z'
'-x,y,-z'
'x,-y,z'
'x+1/2,y+1/2,z'
'-x+1/2,-y+1/2,-z'
'-x+1/2,y+1/2,-z'
'x+1/2,-y+1/2,z'
loop_
_atom_site_label
_atom_site_fract_x
_atom_site_fract_y
_atom_site_fract_z
_atom_site_occupancy
Ce1 0.000 0.202 0.000 1
Ce2 0.151 0.500 0.828 1
Ce3 0.214 0.116 0.595 1
Pu1 0.000 0.000 0.000 1
Os1 0.000 0.302 0.500 1

---

# ThTc2Ge2B (GGA-PBE, optimized geometry)
# **Raw total energy**: -7.88 eV/atom
data_ThTc2Ge2B
_chemical_formula_sum 'Th1 Tc2 Ge2 B1'
_symmetry_space_group_name_H-M 'P 4/m m m'
_symmetry_Int_Tables_number 123
_symmetry_space_group_name_Hall '-P 4 2'
_cell_length_a 4.277
_cell_length_b 4.277
_cell_length_c 5.449
_cell_angle_alpha 90.00
_cell_angle_beta 90.00
_cell_angle_gamma 90.00
loop_
_atom_site_label
_atom_site_fract_x
_atom_site_fract_y
_atom_site_fract_z
_atom_site_occupancy
Th1 0.000 0.000 0.000 1
Tc1 0.000 0.500 0.500 1
Ge1 0.500 0.500 0.230 1
B1 0.000 0.000 0.500 1

---

# Mg2AlCr (GGA-PBE, optimized geometry)
# **Raw total energy**: -3.89 eV/atom
data_Mg2AlCr
_chemical_formula_sum 'Mg2 Al1 Cr1'
_symmetry_space_group_name_H-M 'P m m m'
_symmetry_Int_Tables_number 47
_cell_length_a 3.085
_cell_length_b 4.169
_cell_length_c 5.902
_cell_angle_alpha 90.00
_cell_angle_beta 90.00
_cell_angle_gamma 90.00
loop_
_symmetry_equiv_pos_as_xyz
'x,y,z'
'-x,-y,-z'
'-x,-y,z'
'x,y,-z'
'x,-y,-z'
'-x,y,z'
'-x,y,-z'
'x,-y,z'
loop_
_atom_site_label
_atom_site_fract_x
_atom_site_fract_y
_atom_site_fract_z
_atom_site_occupancy
Mg1 0.000 0.000 0.247 1
Al1 0.500 0.500 0.500 1
Cr1 0.500 0.500 0.000 1

---

In the order shown, the computed theoretical density values come out to 10.559; 9.729; 2.790 g/cm3.